(1)
Below is an optimized crystal structure of LaZnBr3, with properties calculated at the PBE-GGA level.

a b c (Å): 5.8926 5.8926 5.8926
angles (deg): 90.00 90.00 90.00
Fractional positions:
La 0.0000 0.0000 0.0000
Br 0.0000 0.0000 0.5000
Br 0.0000 0.5000 0.0000
Br 0.5000 0.0000 0.0000
Zn 0.5000 0.5000 0.5000

Computed properties:
As for the density of states at the Fermi level: 0.000 states/eV/atom. The magnetic moment is 0.0000 μB per atom. The space group is Pm-3m, No. 221. The value obtained for the calculated total energy is -17.81 eV for the cell shown. For the uncorrected formation energy, the calculation gives -6.6 eV/f.u. Its polymorph energy (0 for the lowest one) is 0.000 eV per atom.

(2)
Below is an optimized crystal structure of LiDy4In3, with properties calculated at the PBE-GGA level.

a b c (Å): 5.1904 5.1903 8.5884
angles (deg): 107.60 107.59 90.00
Fractional positions:
Dy 0.8753 0.8752 0.7505
Dy 0.6247 0.6248 0.2495
Dy 0.3753 0.3752 0.7505
Dy 0.1247 0.1248 0.2495
In 0.0000 0.5000 0.0000
In 0.2536 0.7536 0.5072
In 0.7464 0.2464 0.4928
Li 0.5000 0.0000 0.0000

Computed properties:
As for the density of states at the Fermi level: 0.588 states/eV/atom. The magnetic moment is 0.0000 μB per atom. The space group is I4/mmm, No. 139. The value obtained for the calculated total energy is -31.59 eV for the cell shown. Its formation energy is -0.38 eV/atom.

(3)
Below is an optimized crystal structure of CdReB2F, with properties calculated at the PBE-GGA level.

a b c (Å): 4.2916 4.1776 4.2916
angles (deg): 90.00 90.00 90.00
Last column: magnetic moment on the atom in μB.
Fractional positions:
Cd 0.0000 0.0000 0.0000  0.04
F 0.0000 0.5000 0.0000  0.07
B 0.0000 0.0000 0.5000  -0.06
B 0.5000 0.0000 0.0000  -0.06
Re 0.5000 0.5000 0.5000  2.97

Computed properties:
As for the density of states at the Fermi level: 0.829 states/eV/atom. The magnetic moment is 0.6581 μB per atom. The space group is P4/mmm, No. 123. The value obtained for the calculated total energy is -19.02 eV for the cell shown. For the uncorrected formation energy, the calculation gives 9.6 eV/f.u.

(4)
Below is an optimized crystal structure of Li3MgTc, with properties calculated at the PBE-GGA level.

a b c (Å): 4.8479 4.8479 4.8479
angles (deg): 90.00 90.00 90.00
Last column: magnetic moment on the atom in μB.
Fractional positions:
Li 0.0000 0.5000 0.0000  0.00
Li 0.5000 0.0000 0.0000  0.00
Li 0.0000 0.0000 0.5000  -0.01
Tc 0.0000 0.0000 0.0000  1.95
Mg 0.5000 0.5000 0.5000  0.00

Computed properties:
As for the density of states at the Fermi level: 1.141 states/eV/atom. The magnetic moment is 0.4440 μB per atom. The space group is Pm-3m, No. 221. The value obtained for the calculated total energy is -12.68 eV for the cell shown. Its formation energy is 1.01 eV/atom. Its polymorph energy (0 for the lowest one) is 0.000 eV per atom.

(5)
Below is an optimized crystal structure of NaLa2ReBi, with properties calculated at the PBE-GGA level.

a b c (Å): 5.5162 4.9232 5.5162
angles (deg): 90.00 90.00 90.00
Fractional positions:
Bi 0.0000 0.5000 0.0000
Na 0.0000 0.0000 0.0000
La 0.0000 0.0000 0.5000
La 0.5000 0.0000 0.0000
Re 0.5000 0.5000 0.5000

Computed properties:
As for the density of states at the Fermi level: 1.271 states/eV/atom. The magnetic moment is 0.0001 μB per atom. The space group is P4/mmm, No. 123. The value obtained for the calculated total energy is -20.66 eV for the cell shown. Its formation energy is 1.37 eV/atom.

(6)
Below is an optimized crystal structure of ZnCrSiAs2, with properties calculated at the PBE-GGA level.

a b c (Å): 4.5673 4.8136 4.5673
angles (deg): 90.00 90.00 90.00
Fractional positions:
Zn 0.0000 0.5000 0.0000
As 0.0000 0.0000 0.5000
As 0.5000 0.0000 0.0000
Si 0.5000 0.5000 0.5000
Cr 0.0000 0.0000 0.0000

Computed properties:
As for the density of states at the Fermi level: 0.421 states/eV/atom. The magnetic moment is 0.0000 μB per atom. The space group is P4/mmm, No. 123. The value obtained for the calculated total energy is -22.39 eV for the cell shown. For the uncorrected formation energy, the calculation gives 3.2 eV/f.u.

(7)
Below is an optimized crystal structure of RbLaBe2Sn, with properties calculated at the PBE-GGA level.

a b c (Å): 5.2623 6.1496 5.2623
angles (deg): 90.00 90.00 90.00
Fractional positions:
Be 0.5000 0.0000 0.0000
Be 0.0000 0.0000 0.5000
La 0.0000 0.0000 0.0000
Sn 0.5000 0.5000 0.5000
Rb 0.0000 0.5000 0.0000

Computed properties:
As for the density of states at the Fermi level: 0.913 states/eV/atom. The magnetic moment is 0.0000 μB per atom. The space group is P4/mmm, No. 123. The value obtained for the calculated total energy is -9.99 eV for the cell shown. Its formation energy is 1.47 eV/atom.